12
Lattice="3.894 0.000 0.000 0.000 7.281 0.000 0.000 0.000 9.767" Properties=species:S:1:pos:R:3 comment="LaAsS, single point on PBEsol structure, DFT SCAN" e_tot_ev_per_atom=-26.106 crystal_system=orthorhombic magnetic_moment_mub_per_fu=0.0 pbc="T T T"
As 0.974 4.334 5.291
As 2.921 2.947 4.477
As 2.921 6.587 0.407
As 0.974 0.694 9.360
S 2.921 6.544 6.464
S 2.921 2.904 8.187
S 0.974 4.377 1.581
S 0.974 0.737 3.303
La 2.921 2.218 1.509
La 0.974 5.063 8.258
La 2.921 5.858 3.375
La 0.974 1.423 6.393

5
Lattice="5.531 0.000 0.000 0.000 5.690 0.000 0.000 0.000 5.690" Properties=species:S:1:pos:R:3 comment="LaAs2SeS, single point on PBEsol structure, DFT SCAN" e_tot_ev_per_atom=-21.869 crystal_system=tetragonal magnetic_moment_mub_per_fu=0.5 pbc="T T T"
S 2.766 2.845 2.845
As 0.000 0.000 2.845
As 0.000 2.845 0.000
La 0.000 0.000 0.000
Se 2.766 0.000 0.000

5
Lattice="4.963 0.000 0.000 0.000 4.963 0.000 0.000 0.000 5.235" Properties=species:S:1:pos:R:3 comment="LaTeAsS2, single point on PBEsol structure, DFT SCAN" e_tot_ev_per_atom=-24.463 crystal_system=tetragonal magnetic_moment_mub_per_fu=0.0 pbc="T T T"
La 2.482 2.482 2.618
As 0.000 0.000 2.618
Te 0.000 0.000 0.000
S 0.000 2.482 0.000
S 2.482 0.000 0.000

4
Lattice="4.445 0.000 0.000 0.000 4.445 0.000 0.000 0.000 6.288" Properties=species:S:1:pos:R:3 comment="La2SbAs, single point on PBEsol structure, DFT SCAN" e_tot_ev_per_atom=-37.471 crystal_system=tetragonal magnetic_moment_mub_per_fu=0.0 pbc="T T T"
Sb 0.000 0.000 0.000
La 2.223 2.223 0.000
La 0.000 0.000 3.144
As 2.223 2.223 3.144

Question: What is the formula in the third record?
Answer: LaTeAsS2